DFT (GGA-PBE) results for a relaxed AcZnPd3 crystal.

Properties
As for the relative energy among the computed polymorphs: 0.140 eV/atom. Its density of states at the Fermi level is 4.9 states/eV/cell. As for the space group: Cmmm. For the formation energy from the elements, the calculation gives -0.48 eV/atom.

Cell and atoms, written as POSCAR:
```
AcZnPd3
1.0
-3.792 2.731 -1.014
-2.173 -4.329 -3.534
-3.729 -2.974 5.936
Pd Zn Ac
6 2 2
Direct
0.000 0.250 0.750
0.500 0.000 0.500
0.000 0.750 0.750
0.000 0.250 0.250
0.000 0.750 0.250
0.500 0.500 0.000
0.000 0.000 0.500
0.000 0.500 0.000
0.500 0.000 0.000
0.500 0.500 0.500
```